Here is a relaxed Dy5Zr3N8 crystal from Alexandria. Energies are from PBE.

Output
E_tot (eV/atom): -8.94
Formation energy without anion corrections (eV per formula unit): -27.7

```
data_Dy5Zr3N8
_cell_length_a 6.749
_cell_length_b 6.749
_cell_length_c 6.774
_cell_angle_alpha 60.12
_cell_angle_beta 60.12
_cell_angle_gamma 60.00
_symmetry_space_group_name_H-M 'P 1'
_symmetry_Int_Tables_number 1
loop_
_symmetry_equiv_pos_as_xyz
'x,y,z'
loop_
_atom_site_label
_atom_site_type_symbol
_atom_site_fract_x
_atom_site_fract_y
_atom_site_fract_z
Dy1 Dy 0.500 0.000 0.000
Dy2 Dy 0.500 0.500 0.000
Dy3 Dy 0.000 0.000 0.000
Dy4 Dy 0.000 0.500 0.000
Dy5 Dy 0.500 0.500 0.500
Zr1 Zr 0.500 0.000 0.500
Zr2 Zr 0.000 0.000 0.500
Zr3 Zr 0.000 0.500 0.500
N1 N 0.250 0.250 0.737
N2 N 0.250 0.763 0.737
N3 N 0.763 0.250 0.737
N4 N 0.756 0.756 0.733
N5 N 0.750 0.750 0.263
N6 N 0.750 0.237 0.263
N7 N 0.237 0.750 0.263
N8 N 0.244 0.244 0.267
```